5
Lattice="4.906 0.000 0.000 0.000 4.906 0.000 0.000 0.000 4.906" Properties=species:S:1:pos:R:3 comment="ZrNb3Pt PBE optimized geometry" ef_mev_per_atom=885 crystal_system=cubic e_above_lowest_polymorph_kcal_per_mol_atoms=0.00 total_energy_ev_per_atom=-8.075 m_tot_mub_per_cell=0.00 pbc="T T T"
Zr 0.000 0.000 0.000
Nb 0.000 2.453 2.453
Nb 2.453 0.000 2.453
Nb 2.453 2.453 0.000
Pt 2.453 2.453 2.453